# PBE K3WI2Br6, relaxed
data_K3WI2Br6
_space_group_name_H-M_alt 'C 1 2/m 1'
_space_group_IT_number 12
_cell_length_a 17.2815
_cell_length_b 9.3223
_cell_length_c 6.0560
_cell_angle_alpha 90.00
_cell_angle_beta 91.08
_cell_angle_gamma 90.00
loop_
_space_group_symop_operation_xyz
'x,y,z'
'-x,-y,-z'
'-x,y,-z'
'x,-y,z'
'x+1/2,y+1/2,z'
'-x+1/2,-y+1/2,-z'
'-x+1/2,y+1/2,-z'
'x+1/2,-y+1/2,z'
loop_
_atom_site_label
_atom_site_type_symbol
_atom_site_fract_x
_atom_site_fract_y
_atom_site_fract_z
K1 K 0.0000 0.0000 0.0000
K2 K 0.2500 0.2500 0.5000
W1 W 0.0000 0.5000 0.5000
I1 I 0.1934 0.0000 0.1041
Br1 Br 0.0640 0.3092 0.7346
Br2 Br 0.1150 0.5000 0.2539
# Size of the total moment = 0.08 μB per atom
# Formation energy without anion corrections = -0.964 eV per atom